CaPmCd4 | GGA-PBE | relaxed

abc: 6.169 6.169 5.008
angles: 113.81 113.81 88.46
Sites, in units of the cell vectors:
Ca 0.000 0.000 0.000
Pm 0.522 0.478 0.500
Cd 0.115 0.428 0.771
Cd 0.420 0.066 0.743
Cd 0.572 0.885 0.229
Cd 0.934 0.580 0.257

Space group: C2, No. 5
Formation energy in eV/f.u.: -2.02
Polymorph energy (0 for the lowest one) in meV per atom: 0
Raw total energy in eV per atom: -2.072
ρ in g/cm3: 6.697